Mn5Cr4O12 after structural relaxation, computed with PBE with a Hubbard U.

POSCAR file:
```
Mn5Cr4O12
1.0
6.064 0.032 -0.009
-0.032 6.050 -0.031
-3.017 -3.061 12.895
Mn Cr O
10 8 24
Direct
0.792 0.542 0.083
0.458 0.209 0.416
0.126 0.876 0.750
0.542 0.791 0.584
0.208 0.458 0.917
0.874 0.124 0.250
0.669 0.668 0.834
0.331 0.332 0.166
0.000 0.000 0.500
0.000 0.000 0.000
0.667 0.666 0.333
0.333 0.334 0.667
0.500 0.000 0.000
0.166 0.666 0.333
0.834 0.334 0.667
0.669 0.167 0.834
0.331 0.833 0.166
0.000 0.500 0.500
0.588 0.116 0.677
0.250 0.785 0.009
0.921 0.448 0.343
0.886 0.414 0.825
0.550 0.079 0.157
0.216 0.749 0.491
0.444 0.417 0.826
0.107 0.083 0.157
0.772 0.746 0.490
0.590 0.563 0.677
0.254 0.228 0.010
0.921 0.895 0.343
0.750 0.215 0.991
0.412 0.884 0.323
0.079 0.552 0.657
0.450 0.921 0.843
0.114 0.586 0.175
0.784 0.251 0.509
0.893 0.917 0.843
0.556 0.583 0.174
0.228 0.254 0.510
0.746 0.772 0.990
0.410 0.437 0.323
0.079 0.105 0.657
```

The total magnetization comes out at 1.476 μB per atom. The crystal system is triclinic. The value obtained for the total energy is -7.788 eV/atom. As for the space-group type: P-1.